Entry from Alexandria via LeMat-Bulk: a relaxed Na2YW3O12 crystal (GGA+U).

The structure in CIF format:
```
data_Na2YW3O12
_chemical_formula_sum 'Na6 Y3 W9 O36'
_symmetry_space_group_name_H-M 'R -3 m'
_symmetry_Int_Tables_number 166
_symmetry_space_group_name_Hall '-R 3 2"'
_cell_length_a 7.5072
_cell_length_b 7.5072
_cell_length_c 18.9842
_cell_angle_alpha 90.00
_cell_angle_beta 90.00
_cell_angle_gamma 120.00
loop_
_atom_site_label
_atom_site_fract_x
_atom_site_fract_y
_atom_site_fract_z
Na1 0.0000 0.0000 0.1981
Y1 0.0000 0.0000 0.5000
W1 0.0000 0.5000 0.0000
O1 0.0394 0.5197 0.0998
O2 0.0923 0.5462 0.3444
```

Total magnetic moment in μB/cell: 2.92
Raw total energy in eV/atom: -7.10
Calculated density in Mg/m³: 4.7